# 1
Compound: AcIn4Au8
Source: Alexandria
Functional: PBE
Structure: relaxed

CIF file:
```
data_AcIn4Au8
_chemical_formula_sum 'Ac2 In8 Au16'
_cell_length_a 9.405
_cell_length_b 9.405
_cell_length_c 6.502
_cell_angle_alpha 90.00
_cell_angle_beta 90.00
_cell_angle_gamma 90.00
_symmetry_space_group_name_H-M 'I 4/m m m'
_symmetry_Int_Tables_number 139
_symmetry_space_group_name_Hall '-I 4 2'
loop_
_atom_site_label
_atom_site_fract_x
_atom_site_fract_y
_atom_site_fract_z
Ac1 0.000 0.000 0.000
In1 0.250 0.250 0.250
Au1 0.000 0.216 0.500
Au2 0.000 0.340 0.000
```

Calculated values
V: 575 Å³ per cell
Energy relative to the elements: -334 kJ/mol of formula units
Size of the total moment: 0.0 Bohr magnetons per cell

# 2
Compound: AcInAu2
Source: Alexandria
Functional: PBE
Structure: relaxed

CIF file:
```
data_AcInAu2
_chemical_formula_sum 'Ac4 In4 Au8'
_cell_length_a 8.084
_cell_length_b 4.802
_cell_length_c 10.697
_cell_angle_alpha 90.00
_cell_angle_beta 90.00
_cell_angle_gamma 90.00
_symmetry_space_group_name_H-M 'P n m a'
_symmetry_Int_Tables_number 62
_symmetry_space_group_name_Hall '-P 2ac 2n'
loop_
_atom_site_label
_atom_site_fract_x
_atom_site_fract_y
_atom_site_fract_z
Ac1 0.157 0.250 0.149
In1 0.034 0.750 0.403
Au1 0.121 0.250 0.827
Au2 0.243 0.750 0.948
```

Calculated values
V: 415 Å³ per cell
Energy relative to the elements: -266 kJ/mol of formula units
Size of the total moment: 0.0 Bohr magnetons per cell

# 3
Compound: Ac2InAu4
Source: Alexandria
Functional: PBE
Structure: relaxed

CIF file:
```
data_Ac2InAu4
_chemical_formula_sum 'Ac4 In2 Au8'
_cell_length_a 5.147
_cell_length_b 5.147
_cell_length_c 16.239
_cell_angle_alpha 90.00
_cell_angle_beta 90.00
_cell_angle_gamma 90.00
_symmetry_space_group_name_H-M 'I 4/m m m'
_symmetry_Int_Tables_number 139
_symmetry_space_group_name_Hall '-I 4 2'
loop_
_atom_site_label
_atom_site_fract_x
_atom_site_fract_y
_atom_site_fract_z
Ac1 0.000 0.000 0.135
In1 0.000 0.000 0.500
Au1 0.000 0.000 0.325
Au2 0.000 0.500 0.000
```

Calculated values
V: 430 Å³ per cell
Energy relative to the elements: -274 kJ/mol of formula units
Size of the total moment: 0.0 Bohr magnetons per cell